Computed, not measured: crystalline U2Bi at its relaxed geometry at the PBE level of DFT.

Computed properties:
Density of states at the Fermi level, states/eV per cell: 21.6
SG: Fd-3m, No. 227
ΔE_f, eV/atom: 0.246

extended XYZ file:
```
6
Lattice="0.0000 4.1488 4.1488 4.1488 0.0000 4.1488 4.1488 4.1488 0.0000" Properties=species:S:1:pos:R:3 pbc="T T T"
U 0.0000 0.0000 0.0000
U 2.0744 2.0744 0.0000
U 2.0744 0.0000 2.0744
U 0.0000 2.0744 2.0744
Bi 3.1116 3.1116 3.1116
Bi 5.1860 5.1860 5.1860
```

***

Computed, not measured: crystalline K4LiI6 at its relaxed geometry at the PBE level of DFT.

Computed properties:
Energy relative to the elements, uncorrected, kJ/mol of formula units: -1289
Density of states at the Fermi level, states/eV per cell: 1.0
SG: Cc, No. 9

extended XYZ file:
```
22
Lattice="8.3336 -4.3857 0.0000 8.3336 4.3857 0.0000 -4.1381 0.0000 14.9174" Properties=species:S:1:pos:R:3 pbc="T T T"
K 4.9772 1.7968 1.1073
K 6.2645 2.8665 7.4587
K 5.5935 1.9402 12.5482
K 10.4647 1.7480 3.1043
K 2.9081 -1.7968 8.5660
K 7.6625 -1.9402 5.0895
K 8.3336 -2.8665 0.0000
K 8.3956 -1.7480 10.5631
Li 2.9406 1.4362 4.9918
Li 0.8716 -1.4362 12.4505
I -0.8937 0.5836 13.1899
I 3.3211 1.7469 9.5083
I 8.2703 2.5355 0.6402
I 1.1754 -0.5836 5.7312
I 5.6163 0.9058 4.5899
I 8.1957 1.7142 10.1522
I 3.5473 -0.9058 12.0486
I 5.3902 -1.7469 2.0496
I 8.8602 0.7726 14.2357
I 6.2013 -2.5355 8.0989
I 10.2648 -1.7142 2.6935
I 10.9292 -0.7726 6.7769
```

***

Computed, not measured: crystalline HfPa5Tc6 at its relaxed geometry at the PBE level of DFT.

Computed properties:
Density of states at the Fermi level, states/eV per cell: 11.0
SG: P-1, No. 2
ΔE_f, eV/atom: -0.267

extended XYZ file:
```
12
Lattice="4.8181 0.0000 0.0000 -0.6266 6.6689 0.0000 -1.4347 -2.9287 7.3267" Properties=species:S:1:pos:R:3 pbc="T T T"
Hf 0.0000 0.0000 0.0000
Pa -0.3133 3.3345 0.0000
Pa 0.3207 3.7334 4.8461
Pa 0.6650 0.3857 4.7475
Pa 2.0918 3.3545 2.5792
Pa 2.4361 0.0069 2.4806
Tc -0.5308 5.0601 2.2788
Tc -0.2028 1.7773 2.2605
Tc 0.4437 2.0684 7.3064
Tc 2.3131 1.6718 0.0203
Tc 2.9596 1.9629 5.0662
Tc 3.2876 -1.3199 5.0480
```

***

Computed, not measured: crystalline MgTl2Cl2 at its relaxed geometry at the PBE level of DFT.

Computed properties:
Energy relative to the elements, uncorrected, kJ/mol of formula units: -250
Density of states at the Fermi level, states/eV per cell: 0.0
SG: I4/mmm, No. 139
Energy relative to the lowest polymorph listed for this composition, meV per atom: 58

extended XYZ file:
```
10
Lattice="5.2421 0.0000 0.0000 0.0000 5.2421 0.0000 0.0000 0.0000 13.5237" Properties=species:S:1:pos:R:3 pbc="T T T"
Mg 0.0000 0.0000 0.0000
Mg 2.6210 2.6210 6.7619
Tl 0.0000 0.0000 4.9019
Tl 0.0000 0.0000 8.6218
Tl 2.6210 2.6210 1.8600
Tl 2.6210 2.6210 11.6638
Cl 0.0000 2.6210 3.3809
Cl 0.0000 2.6210 10.1428
Cl 2.6210 0.0000 3.3809
Cl 2.6210 0.0000 10.1428
```

***

Computed, not measured: crystalline AgHg3S4 at its relaxed geometry at the PBE level of DFT.

Computed properties:
Energy relative to the elements, uncorrected, kJ/mol of formula units: -31
Density of states at the Fermi level, states/eV per cell: 9.1
SG: Pmn2_1, No. 31

extended XYZ file:
```
16
Lattice="8.3355 0.0000 0.0000 0.0000 7.2216 0.0000 0.0000 0.0000 6.8890" Properties=species:S:1:pos:R:3 pbc="T T T"
Ag 0.0000 1.1980 0.0000
Ag 4.1677 6.0236 3.4445
Hg 0.0000 6.0134 3.4417
Hg 2.0805 2.4042 3.4360
Hg 2.0873 4.8175 6.8805
Hg 4.1677 1.2082 6.8862
Hg 6.2550 2.4042 3.4360
Hg 6.2482 4.8175 6.8805
S 0.0000 1.2025 4.3696
S 0.0000 6.0619 0.8615
S 2.0421 2.3872 0.8590
S 2.1256 4.8344 4.3035
S 4.1677 1.1597 4.3060
S 4.1677 6.0191 0.9251
S 6.2098 4.8344 4.3035
S 6.2934 2.3872 0.8590
```

***

Computed, not measured: crystalline Be2TlBr at its relaxed geometry at the PBE level of DFT.

Computed properties:
Energy relative to the elements, uncorrected, kJ/mol of formula units: 193
Density of states at the Fermi level, states/eV per cell: 1.3
SG: P2/m, No. 10
Energy relative to the lowest polymorph listed for this composition, meV per atom: 169

extended XYZ file:
```
4
Lattice="4.9140 0.0000 0.0000 0.0000 3.2721 0.0000 -0.1292 0.0000 5.4998" Properties=species:S:1:pos:R:3 pbc="T T T"
Be 0.5441 0.0000 0.9179
Be 4.2407 0.0000 4.5819
Tl 2.4570 1.6360 0.0000
Br -0.0646 1.6360 2.7499
```

***

Computed, not measured: crystalline Ca3W at its relaxed geometry at the PBE level of DFT.

Computed properties:
Density of states at the Fermi level, states/eV per cell: 8.0
SG: Pmmn, No. 59
ΔE_f, eV/atom: 0.868
Energy relative to the lowest polymorph listed for this composition, meV per atom: 476

extended XYZ file:
```
8
Lattice="5.4876 0.0000 0.0000 0.0000 7.0219 0.0000 0.0000 0.0000 6.0414" Properties=species:S:1:pos:R:3 pbc="T T T"
Ca 1.3719 0.0014 1.0588
Ca 1.3719 1.7555 3.8248
Ca 1.3719 3.5096 1.0588
Ca 4.1157 7.0206 4.9826
Ca 4.1157 3.5123 4.9826
Ca 4.1157 5.2664 2.2166
W 1.3719 5.2664 4.1477
W 4.1157 1.7555 1.8937
```

***

Computed, not measured: crystalline Ba2Bi3 at its relaxed geometry at the PBE level of DFT.

Computed properties:
Density of states at the Fermi level, states/eV per cell: 5.1
SG: Immm, No. 71
ΔE_f, eV/atom: -0.765
Energy relative to the lowest polymorph listed for this composition, meV per atom: 0

extended XYZ file:
```
10
Lattice="4.8885 0.0000 0.0000 0.0000 7.9476 0.0000 0.0000 0.0000 10.2926" Properties=species:S:1:pos:R:3 pbc="T T T"
Ba 0.0000 0.0000 2.2859
Ba 0.0000 0.0000 8.0068
Ba 2.4443 3.9738 2.8605
Ba 2.4443 3.9738 7.4322
Bi 0.0000 2.3378 5.1463
Bi 0.0000 3.9738 0.0000
Bi 0.0000 5.6098 5.1463
Bi 2.4443 0.0000 5.1463
Bi 2.4443 1.6360 0.0000
Bi 2.4443 6.3116 0.0000
```

***

Computed, not measured: crystalline NbCuGe2Pb at its relaxed geometry at the PBE level of DFT.

Computed properties:
Density of states at the Fermi level, states/eV per cell: 3.6
SG: P4/mmm, No. 123
ΔE_f, eV/atom: 0.752

extended XYZ file:
```
5
Lattice="5.0148 0.0000 0.0000 0.0000 5.0148 0.0000 0.0000 0.0000 5.5278" Properties=species:S:1:pos:R:3 pbc="T T T"
Nb 0.0000 0.0000 0.0000
Cu 2.5074 2.5074 2.7639
Ge 0.0000 2.5074 0.0000
Ge 2.5074 0.0000 0.0000
Pb 0.0000 0.0000 2.7639
```

***

Computed, not measured: crystalline BaY4Si at its relaxed geometry at the PBE level of DFT.

Computed properties:
Energy relative to the elements, uncorrected, kJ/mol of formula units: 287
Density of states at the Fermi level, states/eV per cell: 7.5
SG: F-43m, No. 216

extended XYZ file:
```
6
Lattice="0.0000 4.6785 4.6785 4.6785 0.0000 4.6785 4.6785 4.6785 0.0000" Properties=species:S:1:pos:R:3 pbc="T T T"
Ba 0.0000 0.0000 0.0000
Y 3.5169 3.5169 3.5169
Y 5.8401 5.8401 3.5169
Y 5.8401 3.5169 5.8401
Y 3.5169 5.8401 5.8401
Si 7.0177 7.0177 7.0177
```

***

Computed, not measured: crystalline TeOsRu3 at its relaxed geometry at the PBE level of DFT.

Computed properties:
Energy relative to the elements, uncorrected, kJ/mol of formula units: 748
Density of states at the Fermi level, states/eV per cell: 7.3
SG: Pm-3m, No. 221
Energy relative to the lowest polymorph listed for this composition, meV per atom: 0

extended XYZ file:
```
5
Lattice="4.7117 0.0000 0.0000 0.0000 4.7117 0.0000 0.0000 0.0000 4.7117" Properties=species:S:1:pos:R:3 pbc="T T T"
Te 0.0000 0.0000 0.0000
Os 2.3558 2.3558 2.3558
Ru 0.0000 2.3558 2.3558
Ru 2.3558 0.0000 2.3558
Ru 2.3558 2.3558 0.0000
```

***

Computed, not measured: crystalline MnTl2Ir at its relaxed geometry at the PBE level of DFT.

Computed properties:
Density of states at the Fermi level, states/eV per cell: 4.8
SG: Imm2, No. 44
ΔE_f, eV/atom: 0.391
Energy relative to the lowest polymorph listed for this composition, meV per atom: 112

extended XYZ file:
```
8
Lattice="3.0672 0.0000 0.0000 0.0000 4.6780 0.0000 0.0000 0.0000 11.8128" Properties=species:S:1:pos:R:3 pbc="T T T"
Mn 0.0000 0.0000 0.0000
Mn 1.5336 2.3390 5.9064
Tl 0.0000 0.0000 7.0104
Tl 0.0000 2.3390 9.5212
Tl 1.5336 0.0000 3.6148
Tl 1.5336 2.3390 1.1040
Ir 0.0000 2.3390 3.8240
Ir 1.5336 0.0000 9.7304
```

***

Question: The highest density of states at the Fermi level belongs to which entry?
Answer: U2Bi

***

Question: Among the records above, which one has the highest density of states at the Fermi level?
Answer: U2Bi

***

Copy entry 4 word for word.
Computed, not measured: crystalline MgTl2Cl2 at its relaxed geometry at the PBE level of DFT.

Computed properties:
Energy relative to the elements, uncorrected, kJ/mol of formula units: -250
Density of states at the Fermi level, states/eV per cell: 0.0
SG: I4/mmm, No. 139
Energy relative to the lowest polymorph listed for this composition, meV per atom: 58

extended XYZ file:
```
10
Lattice="5.2421 0.0000 0.0000 0.0000 5.2421 0.0000 0.0000 0.0000 13.5237" Properties=species:S:1:pos:R:3 pbc="T T T"
Mg 0.0000 0.0000 0.0000
Mg 2.6210 2.6210 6.7619
Tl 0.0000 0.0000 4.9019
Tl 0.0000 0.0000 8.6218
Tl 2.6210 2.6210 1.8600
Tl 2.6210 2.6210 11.6638
Cl 0.0000 2.6210 3.3809
Cl 0.0000 2.6210 10.1428
Cl 2.6210 0.0000 3.3809
Cl 2.6210 0.0000 10.1428
```